# 1
Density functional theory data (GGA-PBE) for NdDy2Al2 after structural relaxation.

a b c (Å): 5.632 3.749 13.288
angles (deg): 90.00 96.48 90.00
Element x y z (fractional)
Nd (0.180, 0.250, 0.233)
Nd (0.820, 0.750, 0.767)
Dy (0.240, 0.750, 0.463)
Dy (0.350, 0.250, 0.890)
Dy (0.650, 0.750, 0.110)
Dy (0.760, 0.250, 0.537)
Al (0.144, 0.750, 0.038)
Al (0.293, 0.250, 0.658)
Al (0.707, 0.750, 0.342)
Al (0.856, 0.250, 0.962)

* SG: P2_1/m, No. 11
* volume: 278.8 Å³/cell
* magnetization: 0.0 μB per cell
* polymorph energy (0 for the lowest one): 141 meV per atom
* VASP energy: -22.212 eV/f.u.
* energy of formation: -151 meV/atom

# 2
Density functional theory data (GGA-PBE) for Nd3Dy2Al3 after structural relaxation.

a b c (Å): 8.602 8.602 3.334
angles (deg): 90.00 90.00 120.00
Element x y z (fractional)
Nd (0.000, 0.245, 0.000)
Nd (0.245, 0.000, 0.000)
Nd (0.755, 0.755, 0.000)
Dy (0.333, 0.667, 0.000)
Dy (0.667, 0.333, 0.000)
Al (0.000, 0.612, 0.500)
Al (0.388, 0.388, 0.500)
Al (0.612, 0.000, 0.500)

* SG: P-62m, No. 189
* volume: 213.6 Å³/cell
* magnetization: 0.0 μB per cell
* VASP energy: -36.546 eV/f.u.
* energy of formation: -226 meV/atom

# 3
Density functional theory data (GGA-PBE) for Nd2DyAl3 after structural relaxation.

a b c (Å): 8.236 8.236 7.391
angles (deg): 90.00 90.00 143.17
Element x y z (fractional)
Nd (0.000, 0.000, 0.000)
Nd (0.000, 0.000, 0.500)
Nd (0.336, 0.664, 0.000)
Nd (0.664, 0.336, 0.000)
Dy (0.333, 0.667, 0.500)
Dy (0.667, 0.333, 0.500)
Al (0.170, 0.830, 0.259)
Al (0.170, 0.830, 0.741)
Al (0.500, 0.500, 0.260)
Al (0.500, 0.500, 0.740)
Al (0.830, 0.170, 0.259)
Al (0.830, 0.170, 0.741)

* SG: Cmmm, No. 65
* volume: 300.5 Å³/cell
* magnetization: 0.0 μB per cell
* VASP energy: -27.566 eV/f.u.
* energy of formation: -367 meV/atom

# 4
Density functional theory data (GGA-PBE) for Nd4DyAl after structural relaxation.

a b c (Å): 3.617 3.617 14.515
angles (deg): 90.00 90.00 90.00
Element x y z (fractional)
Nd (0.000, 0.000, 0.136)
Nd (0.000, 0.000, 0.864)
Nd (0.500, 0.500, 0.323)
Nd (0.500, 0.500, 0.677)
Dy (0.000, 0.000, 0.500)
Al (0.500, 0.500, 0.000)

* SG: P4/mmm, No. 123
* volume: 189.9 Å³/cell
* magnetization: 0.0 μB per cell
* polymorph energy (0 for the lowest one): 3 meV per atom
* VASP energy: -27.977 eV/f.u.
* energy of formation: -94 meV/atom

# 5
Density functional theory data (GGA-PBE) for NdDy7Al5 after structural relaxation.

a b c (Å): 8.040 8.040 8.040
angles (deg): 135.19 100.92 95.81
Element x y z (fractional)
Nd (0.000, 0.000, 0.000)
Dy (0.191, 0.496, 0.695)
Dy (0.319, 0.981, 0.338)
Dy (0.328, 0.328, 0.000)
Dy (0.644, 0.981, 0.662)
Dy (0.653, 0.653, 0.000)
Dy (0.759, 0.259, 0.500)
Dy (0.802, 0.496, 0.305)
Al (0.228, 0.728, 0.500)
Al (0.476, 0.485, 0.491)
Al (0.476, 0.986, 0.992)
Al (0.994, 0.485, 0.008)
Al (0.994, 0.986, 0.509)

* SG: Imm2, No. 44
* volume: 338.2 Å³/cell
* magnetization: 0.0 μB per cell
* VASP energy: -58.673 eV/f.u.
* energy of formation: -229 meV/atom

# 6
Density functional theory data (GGA-PBE) for NdDy4Al3 after structural relaxation.

a b c (Å): 8.773 8.773 8.773
angles (deg): 157.75 121.81 63.08
Element x y z (fractional)
Nd (0.000, 0.000, 0.000)
Dy (0.164, 0.859, 0.304)
Dy (0.445, 0.141, 0.304)
Dy (0.555, 0.859, 0.696)
Dy (0.836, 0.141, 0.696)
Al (0.185, 0.685, 0.500)
Al (0.500, 0.500, 0.000)
Al (0.815, 0.315, 0.500)

* SG: Immm, No. 71
* volume: 215.9 Å³/cell
* magnetization: 0.0 μB per cell
* VASP energy: -35.461 eV/f.u.
* energy of formation: -132 meV/atom

# 7
Density functional theory data (GGA-PBE) for Nd2DyAl after structural relaxation.

a b c (Å): 10.881 10.881 10.881
angles (deg): 19.44 19.44 19.44
Element x y z (fractional)
Nd (0.000, 0.000, 0.000)
Nd (0.187, 0.187, 0.187)
Dy (0.427, 0.427, 0.427)
Al (0.593, 0.593, 0.593)

* SG: R3m, No. 160
* volume: 124.8 Å³/cell
* magnetization: 0.6 μB per cell
* polymorph energy (0 for the lowest one): 162 meV per atom
* VASP energy: -17.947 eV/f.u.
* energy of formation: -17 meV/atom

# 8
Density functional theory data (GGA-PBE) for NdDyAl3 after structural relaxation.

a b c (Å): 13.999 13.999 4.566
angles (deg): 90.00 90.00 164.83
Element x y z (fractional)
Nd (0.073, 0.927, 0.750)
Nd (0.927, 0.073, 0.250)
Dy (0.211, 0.789, 0.250)
Dy (0.789, 0.211, 0.750)
Al (0.327, 0.673, 0.250)
Al (0.380, 0.620, 0.750)
Al (0.476, 0.524, 0.750)
Al (0.524, 0.476, 0.250)
Al (0.620, 0.380, 0.250)
Al (0.673, 0.327, 0.750)

* SG: Cmcm, No. 63
* volume: 234.2 Å³/cell
* magnetization: 0.7 μB per cell
* VASP energy: -22.808 eV/f.u.
* energy of formation: -442 meV/atom

# 9
Density functional theory data (GGA-PBE) for Nd14DyAl after structural relaxation.

a b c (Å): 11.316 7.032 7.032
angles (deg): 75.29 90.00 90.00
Element x y z (fractional)
Nd (0.000, 0.000, 0.000)
Nd (0.000, 0.425, 0.425)
Nd (0.000, 0.501, 0.925)
Nd (0.000, 0.925, 0.501)
Nd (0.242, 0.791, 0.791)
Nd (0.268, 0.224, 0.224)
Nd (0.268, 0.296, 0.709)
Nd (0.268, 0.709, 0.296)
Nd (0.500, 0.511, 0.935)
Nd (0.500, 0.935, 0.511)
Nd (0.732, 0.224, 0.224)
Nd (0.732, 0.296, 0.709)
Nd (0.732, 0.709, 0.296)
Nd (0.758, 0.791, 0.791)
Dy (0.500, 0.994, 0.994)
Al (0.500, 0.439, 0.439)

* SG: Amm2, No. 38
* volume: 541.2 Å³/cell
* magnetization: 0.0 μB per cell
* VASP energy: -74.803 eV/f.u.
* energy of formation: 18 meV/atom

# 10
Density functional theory data (GGA-PBE) for Nd8Dy2Al after structural relaxation.

a b c (Å): 9.296 9.296 8.122
angles (deg): 111.53 111.53 34.43
Element x y z (fractional)
Nd (0.016, 0.016, 0.269)
Nd (0.176, 0.176, 0.721)
Nd (0.338, 0.338, 0.586)
Nd (0.397, 0.397, 0.077)
Nd (0.603, 0.603, 0.923)
Nd (0.662, 0.662, 0.414)
Nd (0.824, 0.824, 0.279)
Nd (0.984, 0.984, 0.731)
Dy (0.192, 0.192, 0.155)
Dy (0.808, 0.808, 0.845)
Al (0.500, 0.500, 0.500)

* SG: C2/m, No. 12
* volume: 366.4 Å³/cell
* magnetization: 0.0 μB per cell
* VASP energy: -50.728 eV/f.u.
* energy of formation: 33 meV/atom

# 11
Density functional theory data (GGA-PBE) for Nd6DyAl after structural relaxation.

a b c (Å): 4.988 4.988 10.250
angles (deg): 90.00 90.00 90.00
Element x y z (fractional)
Nd (0.000, 0.000, 0.000)
Nd (0.000, 0.000, 0.500)
Nd (0.000, 0.500, 0.238)
Nd (0.000, 0.500, 0.762)
Nd (0.500, 0.000, 0.238)
Nd (0.500, 0.000, 0.762)
Dy (0.500, 0.500, 0.500)
Al (0.500, 0.500, 0.000)

* SG: P4/mmm, No. 123
* volume: 255.0 Å³/cell
* magnetization: 0.0 μB per cell
* polymorph energy (0 for the lowest one): 0 meV per atom
* VASP energy: -37.443 eV/f.u.
* energy of formation: -61 meV/atom

# 12
Density functional theory data (GGA-PBE) for NdDy6Al2 after structural relaxation.

a b c (Å): 14.237 14.237 14.237
angles (deg): 160.67 160.67 27.47
Element x y z (fractional)
Nd (0.000, 0.000, 0.000)
Dy (0.145, 0.648, 0.000)
Dy (0.250, 0.750, 0.500)
Dy (0.352, 0.352, 0.497)
Dy (0.648, 0.145, 0.000)
Dy (0.750, 0.250, 0.500)
Dy (0.855, 0.855, 0.503)
Al (0.314, 0.314, 0.000)
Al (0.686, 0.686, 0.000)

* SG: I-42m, No. 121
* volume: 316.0 Å³/cell
* magnetization: 0.0 μB per cell
* polymorph energy (0 for the lowest one): 646 meV per atom
* VASP energy: -35.477 eV/f.u.
* energy of formation: 488 meV/atom